! LaFeP2 | Alexandria | PBE | relaxed; values from VASP
! ΔE to the lowest computed polymorph   147.2 meV/atom
! ΔH_f (0 K)   -2.89 eV per formula unit
! Spin magnetization   0.000 μB per formula unit
! Symmetry   I-42d (122)
&SYSTEM
  ibrav = 0, nat = 8, ntyp = 3
/
ATOMIC_SPECIES
P 30.97 P.upf
Fe 55.84 Fe.upf
La 138.91 La.upf
CELL_PARAMETERS angstrom
-2.3614 -2.6172 3.1430
-0.0228 -3.6208 -3.0321
4.9769 -5.4285 2.7671
ATOMIC_POSITIONS crystal
P 0.4123 0.1250 0.2500
P 0.3377 0.6250 0.2500
P 0.3750 0.5877 0.7500
P 0.8750 0.6623 0.7500
Fe 0.5000 0.5000 0.0000
Fe 0.2500 0.7500 0.5000
La 0.0000 0.0000 0.0000
La 0.7500 0.2500 0.5000

! AlFeGe | Alexandria | PBE | relaxed; values from VASP
! ΔH_f (0 K)   0.12 eV per formula unit
! Spin magnetization   0.000 μB per formula unit
! Symmetry   P-6m2 (187)
&SYSTEM
  ibrav = 0, nat = 3, ntyp = 3
/
ATOMIC_SPECIES
Ge 72.64 Ge.upf
Fe 55.84 Fe.upf
Al 26.98 Al.upf
CELL_PARAMETERS angstrom
2.9969 0.0000 0.0000
0.0000 4.0078 0.0000
0.0000 -2.0039 3.4708
ATOMIC_POSITIONS crystal
Ge 0.1668 0.0000 0.0000
Fe 0.1666 0.3333 0.6667
Al 0.6666 0.6667 0.3333

! Y2HfZnN | Alexandria | PBE | relaxed; values from VASP
! Spin magnetization   0.000 μB per formula unit
! Symmetry   P4/mmm (123)
! Formation energy without anion corrections   -0.752 eV per atom
&SYSTEM
  ibrav = 0, nat = 5, ntyp = 4
/
ATOMIC_SPECIES
Y 88.91 Y.upf
Zn 65.41 Zn.upf
Hf 178.49 Hf.upf
N 14.01 N.upf
CELL_PARAMETERS angstrom
4.7797 0.0000 0.0000
0.0000 4.7797 0.0000
0.0000 0.0000 4.4028
ATOMIC_POSITIONS crystal
Y 0.0000 0.5000 0.0000
Y 0.5000 0.0000 0.0000
Zn 0.5000 0.5000 0.5000
Hf 0.0000 0.0000 0.5000
N 0.0000 0.0000 0.0000

! LaPu4 | Alexandria | PBE | relaxed; values from VASP
! ΔH_f (0 K)   4.78 eV per formula unit
! Spin magnetization   23.539 μB per formula unit
! Symmetry   Pm-3m (221)
&SYSTEM
  ibrav = 0, nat = 5, ntyp = 2
/
ATOMIC_SPECIES
Pu 244.00 Pu.upf
La 138.91 La.upf
CELL_PARAMETERS angstrom
5.4880 0.0000 0.0000
0.0000 5.4880 0.0000
0.0000 0.0000 5.4880
ATOMIC_POSITIONS crystal
Pu 0.0000 0.0000 0.0000
Pu 0.5000 0.0000 0.5000
Pu 0.0000 0.5000 0.5000
Pu 0.5000 0.5000 0.0000
La 0.5000 0.5000 0.5000